Computed, not measured: a relaxed structure of MoAsSe at the PBE level of DFT.

Cell lengths 7.5294, 7.3044, 3.0068 Å; angles 82.54, 74.13, 23.33 degrees
Sites, in units of the cell vectors:
Mo 0.3335 0.3335 0.6665
As 0.9687 0.9687 0.0313
Se 0.6978 0.6978 0.3022

Offset from the most stable computed form   0.433 eV per atom
Crystal system   orthorhombic
Energy relative to the elements, uncorrected   55 kJ/mol of formula units


Computed, not measured: a relaxed structure of Ba2CaZn at the PBE level of DFT.

Cell lengths 6.1936, 9.8226, 4.4619 Å; angles 62.98, 90.00, 129.00 degrees
Sites, in units of the cell vectors:
Zn 0.5000 0.0000 0.5000
Ca 0.5000 0.5000 0.0000
Ba 0.0000 0.0000 0.0000
Ba 0.0000 0.5000 0.5000

Formation enthalpy at 0 K   0.042 eV per atom
Crystal system   orthorhombic


Computed, not measured: a relaxed structure of RbMnCu3 at the PBE level of DFT.

Cell lengths 4.8868, 4.8868, 4.8868 Å; angles 90.00, 90.00, 90.00 degrees
Sites, in units of the cell vectors:
Mn 0.0000 0.0000 0.0000
Cu 0.0000 0.5000 0.0000
Cu 0.0000 0.0000 0.5000
Cu 0.5000 0.0000 0.0000
Rb 0.5000 0.5000 0.5000

Offset from the most stable computed form   0.000 eV per atom
Formation enthalpy at 0 K   0.754 eV per atom
Crystal system   cubic


Computed, not measured: a relaxed structure of SrPuIn2 at the PBE level of DFT.

Cell lengths 3.7117, 3.7117, 10.8098 Å; angles 80.11, 80.11, 60.00 degrees
Sites, in units of the cell vectors:
Sr 0.5000 0.5000 0.5000
In 0.2525 0.2525 0.2424
In 0.7475 0.7475 0.7575
Pu 0.0000 0.0000 0.0000

Offset from the most stable computed form   0.183 eV per atom
Formation enthalpy at 0 K   -0.045 eV per atom
Crystal system   trigonal


Computed, not measured: a relaxed structure of Ni2Pt at the PBE level of DFT.

Cell lengths 4.5378, 6.9329, 5.2281 Å; angles 101.37, 106.96, 77.49 degrees
Sites, in units of the cell vectors:
Ni 0.9982 0.0102 0.0000
Ni 0.4905 0.1715 0.1712
Ni 0.0095 0.3285 0.3288
Ni 0.5018 0.4898 0.5000
Ni 0.4963 0.1711 0.6636
Ni 0.0037 0.3289 0.8364
Ni 0.0090 0.6634 0.1665
Ni 0.4910 0.8366 0.3335
Pt 0.9953 0.6555 0.6550
Pt 0.5047 0.8445 0.8450
Pt 0.9870 0.0090 0.4886
Pt 0.5130 0.4910 0.0114

Formation enthalpy at 0 K   -0.062 eV per atom
Crystal system   triclinic


Computed, not measured: a relaxed structure of Cd14HgSb at the PBE level of DFT.

Cell lengths 6.2708, 6.2708, 10.3325 Å; angles 90.00, 90.00, 111.40 degrees
Sites, in units of the cell vectors:
Cd 0.6517 0.3483 0.5000
Cd 0.1711 0.8289 0.5000
Cd 0.2053 0.3582 0.0000
Cd 0.1555 0.3330 0.5000
Cd 0.6418 0.7947 0.0000
Cd 0.6670 0.8445 0.5000
Cd 0.3158 0.1552 0.7434
Cd 0.3158 0.1552 0.2566
Cd 0.8448 0.6842 0.7434
Cd 0.8448 0.6842 0.2566
Cd 0.8267 0.1733 0.7359
Cd 0.8267 0.1733 0.2641
Cd 0.3378 0.6622 0.7480
Cd 0.3378 0.6622 0.2520
Hg 0.1538 0.8462 0.0000
Sb 0.7035 0.2965 0.0000

Crystal system   orthorhombic
Energy relative to the elements, uncorrected   66 kJ/mol of formula units


Computed, not measured: a relaxed structure of AlBi2TeSe at the PBE level of DFT.

Cell lengths 5.6087, 5.5219, 5.6087 Å; angles 90.00, 90.00, 90.00 degrees
Sites, in units of the cell vectors:
Te 0.0000 0.5000 0.0000
Bi 0.0000 0.0000 0.5000
Bi 0.5000 0.0000 0.0000
Se 0.0000 0.0000 0.0000
Al 0.5000 0.5000 0.5000

Crystal system   tetragonal
Energy relative to the elements, uncorrected   294 kJ/mol of formula units


Computed, not measured: a relaxed structure of SnGe2I2 at the PBE level of DFT.

Cell lengths 3.8237, 3.8237, 12.7462 Å; angles 81.37, 81.37, 90.00 degrees
Sites, in units of the cell vectors:
I 0.4215 0.4215 0.1569
I 0.5785 0.5785 0.8431
Ge 0.7500 0.2500 0.5000
Ge 0.2500 0.7500 0.5000
Sn 0.0000 0.0000 0.0000

Offset from the most stable computed form   0.000 eV per atom
Crystal system   tetragonal
Energy relative to the elements, uncorrected   63 kJ/mol of formula units


Computed, not measured: a relaxed structure of ZnSnAu4 at the PBE level of DFT.

Cell lengths 5.5627, 5.5627, 5.5627 Å; angles 60.00, 60.00, 60.00 degrees
Sites, in units of the cell vectors:
Zn 0.0000 0.0000 0.0000
Au 0.6253 0.6253 0.1242
Au 0.6253 0.1242 0.6253
Au 0.6253 0.6253 0.6253
Au 0.1242 0.6253 0.6253
Sn 0.2500 0.2500 0.2500

Offset from the most stable computed form   0.145 eV per atom
Formation enthalpy at 0 K   0.044 eV per atom
Crystal system   cubic


Computed, not measured: a relaxed structure of SmHo6In at the PBE level of DFT.

Cell lengths 9.1827, 8.5744, 6.2814 Å; angles 46.93, 43.06, 57.65 degrees
Sites, in units of the cell vectors:
Sm 0.5000 0.5000 0.5000
Ho 0.0360 0.4604 0.7447
Ho 0.7588 0.9641 0.7374
Ho 0.5400 0.2410 0.1837
Ho 0.2412 0.0359 0.2626
Ho 0.9640 0.5396 0.2553
Ho 0.4600 0.7590 0.8163
In 0.0000 0.0000 0.0000

Offset from the most stable computed form   0.112 eV per atom
Formation enthalpy at 0 K   0.002 eV per atom
Crystal system   trigonal


Computed, not measured: a relaxed structure of CrReIr2Ru4 at the PBE level of DFT.

Cell lengths 7.3015, 7.3015, 5.3046 Å; angles 111.41, 111.41, 85.92 degrees
Sites, in units of the cell vectors:
Cr 0.5000 0.5000 0.5000
Cr 0.0000 0.0000 0.0000
Re 0.0000 0.5000 0.0000
Re 0.0000 0.5000 0.5000
Ir 0.5000 0.0000 0.0000
Ir 0.5000 0.0000 0.5000
Ir 0.0000 0.0000 0.5000
Ir 0.5000 0.5000 0.0000
Ru 0.2260 0.7801 0.0030
Ru 0.7199 0.2740 0.4970
Ru 0.2801 0.7260 0.5030
Ru 0.7740 0.2199 0.9970
Ru 0.7620 0.7374 0.9987
Ru 0.7626 0.7380 0.5013
Ru 0.2374 0.2620 0.4987
Ru 0.2380 0.2626 0.0013

Formation enthalpy at 0 K   0.709 eV per atom
Crystal system   monoclinic


Computed, not measured: a relaxed structure of Np3PaN4 at the PBE level of DFT.

Cell lengths 3.4552, 5.9988, 5.9988 Å; angles 109.41, 90.00, 90.00 degrees
Sites, in units of the cell vectors:
Np 0.0000 0.0000 0.5000
Np 0.5000 0.5000 0.5000
Np 0.0000 0.5000 0.0000
Pa 0.5000 0.0000 0.0000
N 0.0000 0.2513 0.2513
N 0.5000 0.7488 0.2512
N 0.0000 0.7487 0.7487
N 0.5000 0.2512 0.7488

Crystal system   orthorhombic
Energy relative to the elements, uncorrected   -953 kJ/mol of formula units